[1]
A relaxed structure of TlCuRePd. Source: OQMD via LeMat-Bulk, functional PBE.

Cell and atoms, written as extended XYZ:
```
4
Lattice="0.000 3.203 3.203 3.203 0.000 3.203 3.203 3.203 0.000" Properties=species:S:1:pos:R:3 pbc="T T T"
Cu 4.804 4.804 4.804
Pd 1.601 1.601 1.601
Re 3.203 3.203 3.203
Tl 0.000 0.000 0.000
```

**Symmetry**: No. 216
**Energy above the most stable polymorph in this dataset**: 0 meV/atom


[2]
A relaxed structure of Lu2HfMg. Source: OQMD via LeMat-Bulk, functional PBE.

Cell and atoms, written as extended XYZ:
```
4
Lattice="0.000 3.690 3.690 3.690 0.000 3.690 3.690 3.690 0.000" Properties=species:S:1:pos:R:3 pbc="T T T"
Mg 3.690 3.690 3.690
Lu 0.000 0.000 0.000
Lu 5.535 5.535 5.535
Hf 1.845 1.845 1.845
```

**Symmetry**: No. 216
**DFT total energy**: -4.913 eV per atom


[3]
A relaxed structure of NdW. Source: OQMD via LeMat-Bulk, functional PBE.

Cell and atoms, written as extended XYZ:
```
2
Lattice="-2.883 -0.224 -0.823 2.168 -0.077 -2.081 0.290 -5.603 0.509" Properties=species:S:1:pos:R:3 pbc="T T T"
W 0.557 -1.527 -1.535
Nd -0.982 -4.377 -0.861
```

**Symmetry**: No. 187
**Energy above the most stable polymorph in this dataset**: 0 meV/atom
**Energy relative to the elements**: 1.051 eV/atom


[4]
A relaxed structure of HoAlZnNi. Source: OQMD via LeMat-Bulk, functional PBE.

Cell and atoms, written as extended XYZ:
```
8
Lattice="4.792 -2.035 0.000 4.792 2.035 0.000 -0.022 0.000 7.055" Properties=species:S:1:pos:R:3 pbc="T T T"
Al 6.224 0.000 3.930
Al 3.338 0.000 3.125
Ni 7.477 0.000 1.828
Ni 2.085 0.000 5.227
Ho 0.606 0.000 1.710
Ho 8.956 0.000 5.345
Zn 3.347 0.000 0.383
Zn 6.215 0.000 6.672
```

**Symmetry**: No. 12
**Energy above the most stable polymorph in this dataset**: 0 meV/atom


[5]
A relaxed structure of Tl3Cu3Re2S8. Source: OQMD via LeMat-Bulk, functional PBE.

Cell and atoms, written as extended XYZ:
```
16
Lattice="-8.297 1.752 5.587 -10.003 1.717 0.336 -0.507 -7.297 0.214" Properties=species:S:1:pos:R:3 pbc="T T T"
S -3.536 -6.172 1.049
S -8.540 -0.170 2.772
S -10.270 -3.658 3.357
S -16.895 -0.952 5.250
S -5.397 -1.711 1.692
S -2.057 -2.879 0.442
S -13.453 -2.119 4.312
S -15.354 2.343 4.832
Cu -12.255 -2.792 2.433
Cu -9.008 -1.906 4.285
Cu -7.474 -1.055 0.868
Re -6.537 -0.980 3.462
Re -11.488 -2.832 5.083
Tl -8.316 1.752 5.529
Tl -6.226 -4.679 2.069
Tl -12.573 0.851 4.094
```

**Symmetry**: No. 5
**DFT total energy**: -4.985 eV per atom


[6]
A relaxed structure of GdHoFe2Cl2. Source: OQMD via LeMat-Bulk, functional PBE.

Cell and atoms, written as extended XYZ:
```
6
Lattice="-0.726 2.051 3.125 0.214 -3.795 0.221 10.805 0.727 2.033" Properties=species:S:1:pos:R:3 pbc="T T T"
Cl 1.619 -1.731 1.513
Cl 8.628 0.711 3.858
Fe 4.915 0.461 3.160
Fe 5.422 -1.475 2.228
Gd 3.445 0.232 0.648
Ho 7.360 0.495 1.385
```

**Symmetry**: No. 156
**DFT total energy**: -6.027 eV per atom


[7]
A relaxed structure of Sc2CdHg6. Source: OQMD via LeMat-Bulk, functional PBE.

Cell and atoms, written as extended XYZ:
```
9
Lattice="8.427 0.000 0.000 -4.213 7.298 0.000 0.000 0.000 3.485" Properties=species:S:1:pos:R:3 pbc="T T T"
Cd 0.000 0.000 0.000
Hg 2.970 5.145 1.743
Hg 5.264 0.000 0.000
Hg -1.243 2.153 1.743
Hg 1.582 2.739 0.000
Hg 2.486 0.000 1.743
Hg -2.632 4.558 0.000
Sc 0.000 4.865 1.743
Sc 4.213 2.433 1.743
```

**Symmetry**: No. 189
**Energy relative to the elements**: -0.098 eV/atom


[8]
A relaxed structure of CoRePdPb. Source: OQMD via LeMat-Bulk, functional PBE.

Cell and atoms, written as extended XYZ:
```
4
Lattice="0.000 3.190 3.190 3.190 0.000 3.190 3.190 3.190 0.000" Properties=species:S:1:pos:R:3 pbc="T T T"
Pd 1.595 1.595 1.595
Pb 0.000 0.000 0.000
Co 4.785 4.785 4.785
Re 3.190 3.190 3.190
```

**Symmetry**: No. 216
**Energy above the most stable polymorph in this dataset**: 0 meV/atom


[9]
A relaxed structure of Ag12Sb4Te13. Source: OQMD via LeMat-Bulk, functional PBE.

Cell and atoms, written as extended XYZ:
```
29
Lattice="-6.178 6.178 6.178 6.178 -6.178 6.178 6.178 6.178 -6.178" Properties=species:S:1:pos:R:3 pbc="T T T"
Te -1.492 4.465 1.492
Te 1.492 -1.492 4.465
Te 1.492 7.892 1.492
Te 1.492 4.465 -1.492
Te 0.000 0.000 0.000
Te 1.714 4.686 4.686
Te 4.686 1.714 4.686
Te 1.492 1.492 7.892
Te 7.892 1.492 1.492
Te -1.492 1.492 4.465
Te 4.465 -1.492 1.492
Te 4.686 4.686 1.714
Te 4.465 1.492 -1.492
Sb -3.316 3.316 3.316
Sb 3.316 3.316 -3.316
Sb 2.862 2.862 2.862
Sb 3.316 -3.316 3.316
Ag 6.178 0.000 3.089
Ag 0.000 0.000 9.628
Ag 3.089 6.178 0.000
Ag 0.000 0.000 2.729
Ag 0.000 9.628 0.000
Ag 2.729 0.000 0.000
Ag 6.178 3.089 0.000
Ag 3.089 0.000 6.178
Ag 0.000 2.729 0.000
Ag 0.000 6.178 3.089
Ag 9.628 0.000 0.000
Ag 0.000 3.089 6.178
```

**Symmetry**: No. 217
**DFT total energy**: -3.185 eV per atom


[10]
A relaxed structure of LaAl2ZnHg. Source: OQMD via LeMat-Bulk, functional PBE.

Cell and atoms, written as extended XYZ:
```
5
Lattice="6.136 -0.273 1.610 2.472 4.131 4.140 -5.008 -3.868 -0.520" Properties=species:S:1:pos:R:3 pbc="T T T"
La 0.884 1.096 3.248
Zn 4.304 1.929 2.875
Al 3.708 -0.661 2.646
Al 1.723 -1.551 1.320
Hg 0.000 0.000 0.000
```

**Symmetry**: No. 119
**DFT total energy**: -3.185 eV per atom


[11]
A relaxed structure of GdAl3B2. Source: OQMD via LeMat-Bulk, functional PBE.

Cell and atoms, written as extended XYZ:
```
6
Lattice="-4.885 -0.188 -2.162 2.737 -4.519 0.818 -1.373 -0.266 3.125" Properties=species:S:1:pos:R:3 pbc="T T T"
Al 0.682 -2.392 1.972
Al -1.761 -2.486 0.891
Al -3.129 -0.227 0.482
B -2.345 -1.632 -1.169
B 0.196 -3.075 -0.175
Gd 0.000 0.000 0.000
```

**Symmetry**: No. 191
**DFT total energy**: -4.938 eV per atom


[12]
A relaxed structure of Cs2NdGdS4. Source: OQMD via LeMat-Bulk, functional PBE.

Cell and atoms, written as extended XYZ:
```
8
Lattice="4.187 0.000 0.000 -2.094 3.626 0.000 0.000 0.000 16.139" Properties=species:S:1:pos:R:3 pbc="T T T"
S 0.000 2.418 14.676
S 2.094 1.209 6.528
S 2.094 1.209 1.462
S 0.000 2.418 9.611
Cs 0.000 2.418 4.008
Cs 2.094 1.209 12.131
Nd 0.000 0.000 8.069
Gd 0.000 0.000 0.000
```

**Symmetry**: No. 164
**DFT total energy**: -5.275 eV per atom


[13]
A relaxed structure of NiGe2Au. Source: OQMD via LeMat-Bulk, functional PBE.

Cell and atoms, written as extended XYZ:
```
4
Lattice="0.000 3.206 3.206 3.206 0.000 3.206 3.206 3.206 0.000" Properties=species:S:1:pos:R:3 pbc="T T T"
Ge 4.809 4.809 4.809
Ge 0.000 0.000 0.000
Au 1.603 1.603 1.603
Ni 3.206 3.206 3.206
```

**Symmetry**: No. 216
**DFT total energy**: -4.257 eV per atom


[14]
A relaxed structure of AcOsO3. Source: OQMD via LeMat-Bulk, functional PBE.

Cell and atoms, written as extended XYZ:
```
10
Lattice="0.799 5.124 -2.536 3.025 -0.418 -4.899 -3.301 0.672 -4.688" Properties=species:S:1:pos:R:3 pbc="T T T"
O 1.868 3.676 -4.343
O -1.991 2.853 -4.875
O 0.776 0.194 -5.935
O 2.514 2.525 -7.248
O -0.253 5.185 -6.188
O -1.345 1.702 -7.780
Ac 0.262 2.689 -6.062
Ac 0.000 0.000 0.000
Os 0.392 4.034 -9.092
Os 0.131 1.345 -3.031
```

**Symmetry**: No. 167
**DFT total energy**: -7.716 eV per atom


[15]
A relaxed structure of YAgPbSe3. Source: OQMD via LeMat-Bulk, functional PBE.

Cell and atoms, written as extended XYZ:
```
24
Lattice="-7.197 -10.323 5.593 1.752 0.768 3.672 -8.114 6.966 2.416" Properties=species:S:1:pos:R:3 pbc="T T T"
Y -12.507 -3.819 10.269
Y -7.622 0.238 7.089
Y -5.937 -2.827 4.592
Y -1.053 1.231 1.412
Se -5.056 -0.443 6.007
Se -8.134 1.758 4.681
Se -1.746 0.746 4.179
Se -10.231 0.270 8.327
Se -7.928 5.612 3.777
Se -4.627 3.710 4.934
Se -11.813 -3.334 7.502
Se -3.329 -2.858 3.354
Se -5.631 -8.201 7.904
Se -5.425 -4.347 7.000
Se -8.503 -2.145 5.674
Se -8.933 -6.298 6.747
Ag -3.076 -4.048 5.816
Ag -10.483 1.460 5.865
Ag -11.484 -5.932 7.888
Ag -2.075 3.344 3.793
Pb -5.123 -7.000 5.076
Pb -8.437 4.411 6.605
Pb -8.662 -3.646 8.398
Pb -4.897 1.058 3.283
```

**Symmetry**: No. 62
**Energy above the most stable polymorph in this dataset**: 0 meV/atom


[16]
A relaxed structure of PrSm2In3Pd3. Source: OQMD via LeMat-Bulk, functional PBE.

Cell and atoms, written as extended XYZ:
```
9
Lattice="4.040 0.000 0.000 0.000 6.687 3.859 0.000 -6.687 3.859" Properties=species:S:1:pos:R:3 pbc="T T T"
In 2.020 -4.986 4.823
In 2.020 4.986 4.823
In 2.020 0.000 5.784
Sm 0.000 2.750 6.130
Sm 0.000 -2.750 6.130
Pd 0.000 0.000 7.711
Pd 2.020 2.250 3.864
Pd 2.020 -2.250 3.864
Pr 0.000 0.000 3.179
```

**Symmetry**: No. 38
**DFT total energy**: -5.011 eV per atom


[17]
A relaxed structure of Ni2AgPd. Source: OQMD via LeMat-Bulk, functional PBE.

Cell and atoms, written as extended XYZ:
```
4
Lattice="-2.429 0.099 3.534 -1.592 3.727 1.404 -4.205 0.788 -0.309" Properties=species:S:1:pos:R:3 pbc="T T T"
Pd -4.113 2.307 2.314
Ni 0.000 0.000 0.000
Ni -6.169 3.461 3.471
Ag -2.056 1.154 1.157
```

**Symmetry**: No. 216
**Energy relative to the elements**: 0.229 eV/atom


[18]
A relaxed structure of RbDyCoSe3. Source: OQMD via LeMat-Bulk, functional PBE.

Cell and atoms, written as extended XYZ:
```
12
Lattice="9.319 0.000 0.000 0.000 4.052 0.000 -3.505 0.000 9.263" Properties=species:S:1:pos:R:3 pbc="T T T"
Se 3.131 3.039 1.448
Se 4.510 3.039 4.998
Se 1.304 1.013 4.265
Se 8.448 3.039 1.512
Se -2.634 1.013 7.751
Se 2.683 1.013 7.815
Dy 4.678 3.039 7.961
Dy 1.136 1.013 1.302
Rb 0.011 3.039 7.014
Rb 5.803 1.013 2.249
Co 3.289 1.013 5.470
Co 2.525 3.039 3.793
```

**Symmetry**: No. 11
**DFT total energy**: -5.026 eV per atom


[19]
A relaxed structure of NaReTcB. Source: OQMD via LeMat-Bulk, functional PBE.

Cell and atoms, written as extended XYZ:
```
4
Lattice="0.000 2.970 2.970 2.970 0.000 2.970 2.970 2.970 0.000" Properties=species:S:1:pos:R:3 pbc="T T T"
Tc 0.000 0.000 0.000
Re 1.485 1.485 1.485
B 2.970 2.970 2.970
Na 4.454 4.454 4.454
```

**Symmetry**: No. 216
**Energy above the most stable polymorph in this dataset**: 0 meV/atom


[20]
A relaxed structure of SmPtF7. Source: OQMD via LeMat-Bulk, functional PBE.

Cell and atoms, written as extended XYZ:
```
36
Lattice="-6.944 -6.310 -5.621 4.063 -2.419 -2.304 1.735 -4.182 7.452" Properties=species:S:1:pos:R:3 pbc="T T T"
F 1.668 -7.827 3.041
F 0.926 -3.662 3.364
F -1.746 -7.741 -6.062
F -2.315 -7.081 -1.754
F -3.950 -10.641 0.983
F -3.310 -7.742 0.723
F 0.551 -1.675 1.666
F -0.028 -7.623 -3.343
F -1.409 -9.837 0.270
F -2.071 -9.249 -3.837
F 2.165 -5.168 -1.195
F 0.264 -3.074 -0.743
F 0.351 -7.606 -0.625
F 2.762 -5.636 4.072
F -2.813 -5.084 -3.513
F 1.128 -9.718 1.195
F -2.273 -3.193 -1.668
F -1.117 -5.288 2.870
F -0.742 -7.701 1.838
F -1.496 -5.305 0.152
F -1.696 -11.236 -2.138
F -0.403 -5.209 -2.310
F -3.907 -7.275 -4.545
F -3.530 -9.241 -1.516
F 1.170 -5.830 1.281
F 2.805 -2.270 -1.455
F 2.385 -3.670 1.043
F 0.601 -5.170 5.590
Pt 1.092 -7.767 1.185
Pt 2.028 -4.035 4.921
Pt -2.237 -5.144 -1.658
Pt -3.173 -8.875 -5.394
Sm -2.448 -9.226 2.129
Sm -1.140 -9.027 -1.778
Sm 1.303 -3.685 -2.601
Sm -0.005 -3.884 1.305
```

**Symmetry**: No. 14
**DFT total energy**: -5.189 eV per atom


Number 1: mass density 14.16 Mg/m³. Number 2: mass density 9.13 Mg/m³. Number 3: mass density 12.36 Mg/m³. Number 4: mass density 7.63 Mg/m³. Number 5: mass density 6.06 Mg/m³. Number 6: mass density 6.06 Mg/m³. Number 7: mass density 10.89 Mg/m³. Number 8: mass density 14.30 Mg/m³. Number 9: mass density 6.06 Mg/m³. Number 10: mass density 7.04 Mg/m³. Number 11: mass density 5.09 Mg/m³. Number 12: mass density 4.71 Mg/m³. Number 13: mass density 10.10 Mg/m³. Number 14: mass density 9.77 Mg/m³. Number 15: mass density 6.81 Mg/m³. Number 16: mass density 8.80 Mg/m³. Number 17: mass density 9.87 Mg/m³. Number 18: mass density 5.16 Mg/m³. Number 19: mass density 10.08 Mg/m³. Number 20: mass density 6.62 Mg/m³.